Compound: Cs2GeBiBr6
Source: Alexandria
Functional: PBE-GGA
Structure: optimized geometry

Output
Total magnetic moment = 0.0000 μB/atom
E_tot = -3.08 eV per atom
Space-group type = I4/mmm (139)
D(E_F) = 4.61 states/eV per cell
Raw formation energy = -1.0568 eV per atom
Crystal system = tetragonal

Cell: 8.1676 8.1676 8.1676 Å, 120.16 120.16 89.72°
Atoms (fractional coordinates):
Cs (0.2500, 0.7500, 0.5000)
Cs (0.7500, 0.2500, 0.5000)
Ge (0.0000, 0.0000, 0.0000)
Bi (0.5000, 0.5000, 0.0000)
Br (0.2440, 0.2440, 0.0000)
Br (0.2442, 0.2442, 0.4883)
Br (0.2442, 0.7558, 0.0000)
Br (0.7558, 0.2442, 0.0000)
Br (0.7560, 0.7560, 0.0000)
Br (0.7558, 0.7558, 0.5117)